[1]
! Al4CuNi2 PBE relaxed; values from VASP
! M_tot   0.00 μB per formula unit
! Distance to the lowest polymorph of the same formula   0.0000 eV/atom
&SYSTEM
  ibrav = 0, nat = 7, ntyp = 3
/
ATOMIC_SPECIES
Al 26.98 Al.upf
Cu 63.55 Cu.upf
Ni 58.69 Ni.upf
CELL_PARAMETERS angstrom
2.046 1.181 6.601
-2.046 1.181 6.601
0.000 -2.363 6.601
ATOMIC_POSITIONS crystal
Al 0.117 0.117 0.117
Al 0.370 0.370 0.370
Al 0.630 0.630 0.630
Al 0.883 0.883 0.883
Cu 0.500 0.500 0.500
Ni 0.247 0.247 0.247
Ni 0.753 0.753 0.753


[2]
! Al4Cu2Ni PBE relaxed; values from VASP
! M_tot   0.00 μB per formula unit
! Distance to the lowest polymorph of the same formula   0.1927 eV/atom
&SYSTEM
  ibrav = 0, nat = 14, ntyp = 3
/
ATOMIC_SPECIES
Al 26.98 Al.upf
Cu 63.55 Cu.upf
Ni 58.69 Ni.upf
CELL_PARAMETERS angstrom
4.139 0.000 0.000
-2.069 3.584 0.000
0.000 0.000 15.135
ATOMIC_POSITIONS crystal
Al 0.333 0.667 0.114
Al 0.333 0.667 0.294
Al 0.333 0.667 0.615
Al 0.333 0.667 0.795
Al 0.667 0.333 0.205
Al 0.667 0.333 0.385
Al 0.667 0.333 0.706
Al 0.667 0.333 0.886
Cu 0.000 0.000 0.082
Cu 0.000 0.000 0.918
Cu 0.333 0.667 0.455
Cu 0.667 0.333 0.545
Ni 0.333 0.667 0.954
Ni 0.667 0.333 0.046


[3]
! Al2Cu4Ni PBE relaxed; values from VASP
! M_tot   0.44 μB per formula unit
! Distance to the lowest polymorph of the same formula   0.2186 eV/atom
&SYSTEM
  ibrav = 0, nat = 7, ntyp = 3
/
ATOMIC_SPECIES
Al 26.98 Al.upf
Cu 63.55 Cu.upf
Ni 58.69 Ni.upf
CELL_PARAMETERS angstrom
2.647 0.000 0.000
-1.323 2.292 0.000
0.000 0.000 15.224
ATOMIC_POSITIONS crystal
Al 0.000 0.000 0.000
Al 0.333 0.667 0.697
Cu 0.333 0.667 0.423
Cu 0.333 0.667 0.863
Cu 0.667 0.333 0.137
Cu 0.667 0.333 0.559
Ni 0.667 0.333 0.292